Entry 1:
Tl3AsS4, relaxed, DFT GGA-PBE; polymorph energy (0 for the lowest one) = 39 meV/atom; total moment = 0.0 μB/f.u.; ΔE_f (raw) = -0.26 eV/atom
1.0
9.249 0.000 0.000
0.000 9.110 0.000
0.000 0.000 6.205
Tl As S
6 2 8
Direct
0.000 0.106 0.000 Tl
0.200 0.323 0.500 Tl
0.300 0.677 0.000 Tl
0.500 0.894 0.500 Tl
0.700 0.677 0.000 Tl
0.800 0.323 0.500 Tl
0.000 0.787 0.406 As
0.500 0.213 0.906 As
0.000 0.018 0.501 S
0.000 0.776 0.048 S
0.200 0.677 0.510 S
0.300 0.323 0.010 S
0.500 0.224 0.548 S
0.500 0.982 0.001 S
0.700 0.323 0.010 S
0.800 0.677 0.510 S


Entry 2:
BeAgN, relaxed, DFT GGA-PBE; total moment = 0.0 μB/f.u.; ΔE_f (raw) = -0.12 eV/atom
1.0
2.887 0.000 0.000
1.428 2.509 0.000
1.356 -0.664 9.417
Be Ag N
2 2 2
Direct
0.000 0.000 0.000 Be
0.114 0.821 0.213 Be
0.476 0.730 0.479 Ag
0.994 0.458 0.734 Ag
0.668 0.659 0.024 N
0.781 0.496 0.190 N


Entry 3:
Dy3Tl2Pd2, relaxed, DFT GGA-PBE; total moment = 0.0 μB/f.u.; DFT formation energy = -629 meV/atom
1.0
1.964 -11.626 0.000
1.964 11.626 0.000
0.000 0.000 3.747
Dy Tl Pd
3 2 2
Direct
0.000 0.000 0.000 Dy
0.172 0.828 0.000 Dy
0.828 0.172 0.000 Dy
0.417 0.583 0.500 Tl
0.583 0.417 0.500 Tl
0.290 0.710 0.500 Pd
0.710 0.290 0.500 Pd


Entry 4:
Y3AlTe6, relaxed, DFT GGA-PBE; total moment = 0.0 μB/f.u.; ΔE_f (raw) = -1.14 eV/atom
1.0
6.055 -7.493 0.000
6.055 7.493 0.000
0.000 0.000 7.255
Y Al Te
6 2 12
Direct
0.095 0.905 0.500 Y
0.222 0.416 0.610 Y
0.416 0.222 0.110 Y
0.584 0.778 0.610 Y
0.778 0.584 0.110 Y
0.905 0.095 0.000 Y
0.295 0.705 0.146 Al
0.705 0.295 0.646 Al
0.061 0.599 0.330 Te
0.126 0.201 0.303 Te
0.201 0.126 0.803 Te
0.279 0.721 0.784 Te
0.401 0.939 0.330 Te
0.460 0.540 0.291 Te
0.540 0.460 0.791 Te
0.599 0.061 0.830 Te
0.721 0.279 0.284 Te
0.799 0.874 0.303 Te
0.874 0.799 0.803 Te
0.939 0.401 0.830 Te


Entry 5:
CeMg2MnH8, relaxed, DFT GGA-PBE; E_tot = -4.06 eV/atom; total moment = 1.0 μB/f.u.
1.0
4.483 0.000 0.000
0.002 4.660 0.000
0.002 1.767 5.269
Ce Mg Mn H
1 2 1 8
Direct
0.000 0.000 0.000 Ce
0.500 0.413 0.286 Mg
0.500 0.587 0.714 Mg
0.000 0.500 0.500 Mn
0.001 0.570 0.779 H
0.245 0.230 0.605 H
0.247 0.769 0.393 H
0.500 0.212 0.038 H
0.500 0.788 0.962 H
0.753 0.231 0.607 H
0.755 0.770 0.395 H
0.999 0.430 0.221 H


Entry 6:
Rb2NaHgAu, relaxed, DFT GGA-PBE; polymorph energy (0 for the lowest one) = 0 meV/atom; total moment = 0.0 μB/f.u.; DFT formation energy = -210 meV/atom
1.0
5.034 0.000 0.000
0.000 5.034 0.000
0.000 0.000 17.095
Rb Na Hg Au
4 2 2 2
Direct
0.250 0.250 0.102 Rb
0.250 0.250 0.697 Rb
0.750 0.750 0.303 Rb
0.750 0.750 0.898 Rb
0.250 0.750 0.500 Na
0.750 0.250 0.500 Na
0.250 0.250 0.377 Hg
0.750 0.750 0.623 Hg
0.250 0.250 0.897 Au
0.750 0.750 0.103 Au


Entry 7:
AgIO2, relaxed, DFT GGA-PBE; total moment = 0.0 μB/f.u.; ΔE_f (raw) = 0.59 eV/atom
1.0
0.000 3.046 3.046
3.046 0.000 3.046
3.046 3.046 0.000
Ag I O
1 1 2
Direct
0.000 0.000 0.000 Ag
0.500 0.500 0.500 I
0.250 0.250 0.250 O
0.750 0.750 0.750 O


Entry 8:
Ta4Be, relaxed, DFT GGA-PBE; polymorph energy (0 for the lowest one) = 963 meV/atom; total moment = 0.0 μB/f.u.; DFT formation energy = 1078 meV/atom
1.0
0.000 4.509 4.509
4.509 0.000 4.509
4.509 4.509 0.000
Ta Be
8 2
Direct
0.207 0.764 0.764 Ta
0.236 0.236 0.236 Ta
0.236 0.236 0.793 Ta
0.236 0.793 0.236 Ta
0.764 0.207 0.764 Ta
0.764 0.764 0.207 Ta
0.764 0.764 0.764 Ta
0.793 0.236 0.236 Ta
0.375 0.375 0.375 Be
0.625 0.625 0.625 Be


Entry 9:
PaNi8Au3, relaxed, DFT GGA-PBE; total moment = 1.8 μB/f.u.; DFT formation energy = -153 meV/atom
1.0
2.451 1.415 7.934
-2.451 1.415 7.934
0.000 -2.831 7.934
Pa Ni Au
1 8 3
Direct
0.000 0.000 0.000 Pa
0.062 0.062 0.562 Ni
0.062 0.562 0.062 Ni
0.062 0.562 0.562 Ni
0.312 0.312 0.312 Ni
0.562 0.062 0.062 Ni
0.562 0.062 0.562 Ni
0.562 0.562 0.062 Ni
0.812 0.812 0.812 Ni
0.127 0.127 0.127 Au
0.498 0.498 0.498 Au
0.620 0.620 0.620 Au


Entry 10:
Sn2Pd3Au, relaxed, DFT GGA-PBE; polymorph energy (0 for the lowest one) = 136 meV/atom; total moment = 0.0 μB/f.u.; DFT formation energy = -284 meV/atom
1.0
-3.186 6.688 2.846
3.186 -6.688 2.846
3.186 6.688 -2.846
Sn Pd Au
4 6 2
Direct
0.155 0.144 0.299 Sn
0.345 0.644 0.989 Sn
0.655 0.356 0.011 Sn
0.845 0.856 0.701 Sn
0.064 0.750 0.314 Pd
0.250 0.250 0.000 Pd
0.436 0.750 0.686 Pd
0.564 0.250 0.314 Pd
0.750 0.750 0.000 Pd
0.936 0.250 0.686 Pd
0.000 0.500 0.500 Au
0.500 0.000 0.500 Au


Entry 11:
Ac4GeBiN, relaxed, DFT GGA-PBE; total moment = 0.8 μB/f.u.; ΔE_f (raw) = -0.76 eV/atom
1.0
3.593 -9.011 0.000
3.593 9.011 0.000
0.000 0.000 7.167
Ac Ge Bi N
8 2 2 2
Direct
0.000 0.500 0.000 Ac
0.000 0.500 0.500 Ac
0.063 0.937 0.750 Ac
0.417 0.583 0.750 Ac
0.500 0.000 0.000 Ac
0.500 0.000 0.500 Ac
0.583 0.417 0.250 Ac
0.937 0.063 0.250 Ac
0.118 0.882 0.250 Ge
0.882 0.118 0.750 Ge
0.390 0.610 0.250 Bi
0.610 0.390 0.750 Bi
0.280 0.720 0.750 N
0.720 0.280 0.250 N


Entry 12:
Ca2MnMo, relaxed, DFT GGA-PBE; polymorph energy (0 for the lowest one) = 488 meV/atom; total moment = 3.2 μB/f.u.; DFT formation energy = 855 meV/atom
1.0
2.995 0.000 0.000
0.000 4.883 0.000
-0.096 0.000 6.118
Ca Mn Mo
2 1 1
Direct
0.004 0.000 0.245 Ca
0.996 0.000 0.755 Ca
0.500 0.500 0.500 Mn
0.500 0.500 0.000 Mo


Entry 13:
Ti3Nb2Sn, relaxed, DFT GGA-PBE; total moment = 0.0 μB/f.u.; DFT formation energy = -195 meV/atom
1.0
2.319 -6.762 0.000
2.319 6.762 0.000
0.000 0.000 3.429
Ti Nb Sn
3 2 1
Direct
0.000 0.000 0.000 Ti
0.321 0.679 0.000 Ti
0.679 0.321 0.000 Ti
0.162 0.838 0.500 Nb
0.838 0.162 0.500 Nb
0.500 0.500 0.500 Sn


Entry 14:
MgMoIr2, relaxed, DFT GGA-PBE; total moment = 0.0 μB/f.u.; DFT formation energy = -12 meV/atom
1.0
1.492 -2.312 0.000
1.492 2.312 0.000
0.000 0.000 8.955
Mg Mo Ir
1 1 2
Direct
0.000 0.000 0.000 Mg
0.000 0.000 0.500 Mo
0.500 0.500 0.251 Ir
0.500 0.500 0.749 Ir


Entry 15:
AlTlPb2, relaxed, DFT GGA-PBE; polymorph energy (0 for the lowest one) = 41 meV/atom; total moment = 0.0 μB/f.u.; DFT formation energy = 153 meV/atom
1.0
6.643 -1.691 0.000
6.643 1.691 0.000
-2.389 0.000 5.123
Al Tl Pb
1 1 2
Direct
0.000 0.000 0.000 Al
0.500 0.500 0.500 Tl
0.287 0.287 0.786 Pb
0.713 0.713 0.214 Pb


Entry 16:
TbTh2Tc, relaxed, DFT GGA-PBE; polymorph energy (0 for the lowest one) = 142 meV/atom; total moment = 0.0 μB/f.u.; DFT formation energy = 22 meV/atom
1.0
3.552 0.000 0.000
0.000 3.552 0.000
0.000 0.000 8.650
Tb Th Tc
1 2 1
Direct
0.000 0.000 0.000 Tb
0.500 0.500 0.294 Th
0.500 0.500 0.706 Th
0.000 0.000 0.500 Tc


Entry 17:
LaZnPS2, relaxed, DFT GGA-PBE; polymorph energy (0 for the lowest one) = 0 meV/atom; total moment = 0.0 μB/f.u.; ΔE_f (raw) = -0.60 eV/atom
1.0
4.773 0.000 0.000
0.000 4.773 0.000
0.000 0.000 4.612
La Zn P S
1 1 1 2
Direct
0.000 0.000 0.000 La
0.500 0.500 0.500 Zn
0.500 0.500 0.000 P
0.000 0.500 0.500 S
0.500 0.000 0.500 S


Entry 18:
CsRbHg, relaxed, DFT GGA-PBE; polymorph energy (0 for the lowest one) = 0 meV/atom; total moment = 0.0 μB/f.u.; DFT formation energy = -143 meV/atom
1.0
0.000 4.572 4.572
4.572 0.000 4.572
4.572 4.572 0.000
Cs Rb Hg
1 1 1
Direct
0.000 0.000 0.000 Cs
0.500 0.500 0.500 Rb
0.750 0.750 0.750 Hg


Entry 19:
Be3Co, relaxed, DFT GGA-PBE; total moment = 0.0 μB/f.u.; DFT formation energy = -269 meV/atom
1.0
4.584 0.000 0.000
-2.292 3.970 0.000
0.000 0.000 3.646
Be Co
6 2
Direct
0.167 0.334 0.250 Be
0.167 0.833 0.250 Be
0.334 0.167 0.750 Be
0.666 0.833 0.250 Be
0.833 0.167 0.750 Be
0.833 0.666 0.750 Be
0.333 0.667 0.750 Co
0.667 0.333 0.250 Co


Entry 20:
LiLaBe, relaxed, DFT GGA-PBE; polymorph energy (0 for the lowest one) = 172 meV/atom; total moment = 0.2 μB/f.u.; DFT formation energy = 414 meV/atom
1.0
0.000 3.356 3.356
3.356 0.000 3.356
3.356 3.356 0.000
Li La Be
1 1 1
Direct
0.000 0.000 0.000 Li
0.500 0.500 0.500 La
0.250 0.250 0.250 Be